Entry from the Alexandria database: crystalline CePm2Nd at its relaxed geometry (PBE).

Cell lengths 5.7814, 5.7814, 5.7814 Å; angles 60.00, 60.00, 60.00 degrees
Atoms (fractional coordinates):
1 Ce 0.0000 0.0000 0.0000
2 Pm 0.2500 0.2500 0.2500
3 Nd 0.5000 0.5000 0.5000
4 Pm 0.7500 0.7500 0.7500

Output
Relative energy among the computed polymorphs (meV/atom): 142
Magnetization (Bohr magnetons per cell): 2.57
Calculated total energy (eV/atom): -4.85
Theoretical density (g/cm3): 6.98